Record 1
Here is a relaxed structure of PrNd5Sm7 from Alexandria via LeMat-Bulk. Energies are from PBE.

a b c (Å): 6.8467 11.3006 11.9251
angles (deg): 90.00 90.00 90.00
Space group Imm2 (No. 44)
One atom of each set of equivalent atoms:
Pr 0.0000 0.0000 0.0000 x2
Nd 0.0000 0.5000 0.2682 x2
Nd 0.2307 0.2289 0.8036 x8
Sm 0.0000 0.0000 0.3050 x2
Sm 0.0000 0.0000 0.6049 x2
Sm 0.0000 0.3236 0.0451 x4
Sm 0.0000 0.3317 0.5448 x4
Sm 0.0000 0.5000 0.7886 x2

Formation energy from the elements ... 0.2280 eV per atom



Record 2
Here is a relaxed structure of PrNdSm2 from Alexandria via LeMat-Bulk. Energies are from PBE.

a b c (Å): 5.1813 5.1813 5.1689
angles (deg): 90.00 90.00 90.00
Space group P4/mmm (No. 123)
One atom of each set of equivalent atoms:
Pr 0.0000 0.0000 0.0000 x1
Nd 0.5000 0.5000 0.0000 x1
Sm 0.0000 0.5000 0.5000 x2

Relative energy among the computed polymorphs ... 17.7 meV per atom
Formation energy from the elements ... 0.0150 eV per atom